Entry 1:
## RbPr2Se3 (PBE)

Data for RbPr2Se3 after structural relaxation.

```
data_RbPr2Se3
_symmetry_space_group_name_H-M 'P 63/m m c'
_symmetry_Int_Tables_number 194
_symmetry_space_group_name_Hall '-P 6c 2c'
_cell_length_a 4.3291
_cell_length_b 4.3291
_cell_length_c 23.2031
_cell_angle_alpha 90.00
_cell_angle_beta 90.00
_cell_angle_gamma 120.00
loop_
_atom_site_label
_atom_site_fract_x
_atom_site_fract_y
_atom_site_fract_z
Rb1 0.0000 0.0000 0.2500
Pr1 0.3333 0.6667 0.0758
Se1 0.0000 0.0000 0.0000
Se2 0.3333 0.6667 0.6468
```

## Properties
Uncorrected formation energy ... -1.763 eV/atom
Fermi-level density of states ... 3.95 states/eV/cell
E ... -5.2592 eV/atom


Entry 2:
## PrCdCuSn (PBE)

Data for PrCdCuSn after structural relaxation.

```
data_PrCdCuSn
_symmetry_space_group_name_H-M 'F -4 3 m'
_symmetry_Int_Tables_number 216
_symmetry_space_group_name_Hall 'F -4 2 3'
_cell_length_a 7.1727
_cell_length_b 7.1727
_cell_length_c 7.1727
_cell_angle_alpha 90.00
_cell_angle_beta 90.00
_cell_angle_gamma 90.00
loop_
_atom_site_label
_atom_site_fract_x
_atom_site_fract_y
_atom_site_fract_z
Pr1 0.0000 0.0000 0.0000
Cd1 0.2500 0.2500 0.7500
Cu1 0.2500 0.2500 0.2500
Sn1 0.0000 0.0000 0.5000
```

## Properties
Fermi-level density of states ... 8.20 states/eV/cell
E ... -3.6731 eV/atom
Formation energy ... -0.2247 eV/atom